VASP calculation (PBE-GGA) on a geometry-optimized Pr2MgBePt6 structure.

a b c (Å): 7.5549 7.5549 7.5549
angles (deg): 44.71 44.71 44.71
Last column: nearest neighbours and their distance in Å.
Fractional positions:
Pr 0.2145 0.2145 0.2145  6 Pt 3.06
Pr 0.7855 0.7855 0.7855  6 Pt 3.06
Mg 0.5000 0.5000 0.5000  6 Pt 2.59
Be 0.0000 0.0000 0.0000  6 Pt 2.19
Pt 0.2390 0.2390 0.7219  1 Be 2.19
Pt 0.2390 0.7219 0.2390  1 Be 2.19
Pt 0.2781 0.7610 0.7610  1 Be 2.19
Pt 0.7219 0.2390 0.2390  1 Be 2.19
Pt 0.7610 0.2781 0.7610  1 Be 2.19
Pt 0.7610 0.7610 0.2781  1 Be 2.19

## Properties
DOS at the Fermi energy (states/eV/cell): 3.31
Symmetry: R-3m (166)
ΔH_f (0 K) (eV/atom): -0.8015

***

VASP calculation (PBE-GGA) on a geometry-optimized Ca2SnRuN structure.

a b c (Å): 5.1296 5.1296 3.8350
angles (deg): 90.00 90.00 90.00
Last column: nearest neighbours and their distance in Å.
Fractional positions:
Ca 0.0000 0.5000 0.0000  2 N 2.56
Ca 0.5000 0.0000 0.0000  2 N 2.56
Sn 0.0000 0.0000 0.5000  8 Ca 3.20
Ru 0.5000 0.5000 0.5000  2 N 1.92
N 0.5000 0.5000 0.0000  2 Ru 1.92

## Properties
DOS at the Fermi energy (states/eV/cell): 2.23
Symmetry: P4/mmm (123)
Uncorrected formation energy (eV per atom): -0.525